No. 1
VASP calculation (GGA-PBE) on an optimized crystal structure of Ni2MoRu.

SG: Pmmm (47)
E_form, meV per atom: 54

abc: 2.628 3.795 5.168
angles: 90.00 90.00 90.00
Element x y z (fractional)
Ni (0.000, 0.000, 0.246)
Ni (0.000, 0.000, 0.754)
Mo (0.500, 0.500, 0.500)
Ru (0.500, 0.500, 0.000)

No. 2
VASP calculation (GGA-PBE) on an optimized crystal structure of Ni2MoRu.

SG: I4/mmm (139)
E_form, meV per atom: -1

abc: 4.612 4.612 4.612
angles: 133.09 133.09 68.51
Element x y z (fractional)
Ni (0.250, 0.750, 0.500)
Ni (0.750, 0.250, 0.500)
Mo (0.000, 0.000, 0.000)
Ru (0.500, 0.500, 0.000)

No. 3
VASP calculation (GGA-PBE) on an optimized crystal structure of Ni2MoRu.

SG: F-43m (216)
E_form, meV per atom: 130

abc: 4.203 4.203 4.203
angles: 60.00 60.00 60.00
Element x y z (fractional)
Ni (0.000, 0.000, 0.000)
Ni (0.250, 0.250, 0.250)
Mo (0.750, 0.750, 0.750)
Ru (0.500, 0.500, 0.500)

No. 4
VASP calculation (GGA-PBE) on an optimized crystal structure of Ni2MoRu.

SG: R3m (160)
E_form, meV per atom: 143

abc: 8.636 8.636 8.636
angles: 17.85 17.85 17.85
Element x y z (fractional)
Ni (0.000, 0.000, 0.000)
Ni (0.256, 0.256, 0.256)
Mo (0.504, 0.504, 0.504)
Ru (0.751, 0.751, 0.751)

No. 5
VASP calculation (GGA-PBE) on an optimized crystal structure of NiMoRu2.

SG: R-3m (166)
E_form, meV per atom: 140

abc: 8.854 8.854 8.854
angles: 17.63 17.63 17.63
Element x y z (fractional)
Ni (0.000, 0.000, 0.000)
Mo (0.500, 0.500, 0.500)
Ru (0.253, 0.253, 0.253)
Ru (0.747, 0.747, 0.747)

No. 6
VASP calculation (GGA-PBE) on an optimized crystal structure of NiMoRu2.

SG: P4mm (99)
E_form, meV per atom: 92

abc: 2.694 2.694 7.598
angles: 90.00 90.00 90.00
Element x y z (fractional)
Ni (0.000, 0.000, 0.000)
Mo (0.500, 0.500, 0.763)
Ru (0.000, 0.000, 0.482)
Ru (0.500, 0.500, 0.247)

No. 7
VASP calculation (GGA-PBE) on an optimized crystal structure of NiMoRu.

SG: I4mm (107)
E_form, meV per atom: 78

abc: 5.857 5.857 5.857
angles: 153.14 153.14 38.36
Element x y z (fractional)
Ni (0.000, 0.000, 0.000)
Mo (0.334, 0.334, 0.000)
Ru (0.664, 0.664, 0.000)

No. 8
VASP calculation (GGA-PBE) on an optimized crystal structure of NiMoRu2.

SG: Fm-3m (225)
E_form, meV per atom: 142

abc: 4.280 4.280 4.280
angles: 60.00 60.00 60.00
Element x y z (fractional)
Ni (0.000, 0.000, 0.000)
Mo (0.500, 0.500, 0.500)
Ru (0.250, 0.250, 0.250)
Ru (0.750, 0.750, 0.750)

No. 9
VASP calculation (GGA-PBE) on an optimized crystal structure of NiMoRu.

SG: P2_1/m (11)
E_form, meV per atom: -56

abc: 4.655 4.290 4.676
angles: 90.00 119.33 90.00
Element x y z (fractional)
Ni (0.006, 0.250, 0.154)
Ni (0.994, 0.750, 0.846)
Mo (0.323, 0.250, 0.818)
Mo (0.677, 0.750, 0.182)
Ru (0.320, 0.750, 0.490)
Ru (0.680, 0.250, 0.510)

No. 10
VASP calculation (GGA-PBE) on an optimized crystal structure of NiMoRu.

SG: C2/c (15)
E_form, meV per atom: -6

abc: 4.676 4.676 4.581
angles: 98.32 98.32 121.02
Element x y z (fractional)
Ni (0.076, 0.924, 0.750)
Ni (0.924, 0.076, 0.250)
Mo (0.404, 0.596, 0.750)
Mo (0.596, 0.404, 0.250)
Ru (0.251, 0.749, 0.250)
Ru (0.749, 0.251, 0.750)

No. 11
VASP calculation (GGA-PBE) on an optimized crystal structure of Ni3MoRu.

SG: Pm-3m (221)
E_form, meV per atom: 1573

abc: 4.404 4.404 4.404
angles: 90.00 90.00 90.00
Element x y z (fractional)
Ni (0.000, 0.000, 0.500)
Ni (0.000, 0.500, 0.000)
Ni (0.500, 0.000, 0.000)
Mo (0.500, 0.500, 0.500)
Ru (0.000, 0.000, 0.000)

No. 12
VASP calculation (GGA-PBE) on an optimized crystal structure of NiMoRu2.

SG: C2 (5)
E_form, meV per atom: 39

abc: 3.760 3.760 4.695
angles: 113.56 113.56 89.95
Element x y z (fractional)
Ni (0.000, 0.000, 0.000)
Mo (0.751, 0.249, 0.500)
Ru (0.248, 0.752, 0.500)
Ru (0.500, 0.500, 0.000)